1.
Below is AcErRh2 after structural relaxation, with properties calculated at the GGA-PBE level.

Its energy relative to the lowest polymorph listed for this composition is 0.0 meV per atom. Its energy relative to the elements is -0.68 eV/atom. Its magnetization is 0.000 μB per atom.

Structure (extended XYZ):
```
4
Lattice="3.521 0.000 0.000 0.000 3.521 0.000 0.000 0.000 7.239" Properties=species:S:1:pos:R:3 pbc="T T T"
Ac 0.000 0.000 0.000
Er 0.000 0.000 3.620
Rh 1.760 1.760 2.032
Rh 1.760 1.760 5.207
```

2.
Below is Rb2Sn2Br7 after structural relaxation, with properties calculated at the GGA-PBE level.

Its energy relative to the lowest polymorph listed for this composition is 72.8 meV per atom. Its magnetization is 0.000 μB per atom.

Structure (extended XYZ):
```
11
Lattice="4.774 -5.460 0.000 4.774 5.460 0.000 0.000 0.000 7.991" Properties=species:S:1:pos:R:3 pbc="T T T"
Rb 2.228 0.000 0.000
Rb 7.319 0.000 0.000
Sn 4.774 2.438 3.995
Sn 4.774 -2.438 3.995
Br 0.000 0.000 3.995
Br 2.387 2.730 2.126
Br 2.387 2.730 5.864
Br 2.387 -2.730 2.126
Br 2.387 -2.730 5.864
Br 4.774 0.000 2.255
Br 4.774 0.000 5.735
```

3.
Below is KRbIrO4 after structural relaxation, with properties calculated at the GGA-PBE level.

Its magnetization is 0.144 μB per atom.

Structure (extended XYZ):
```
7
Lattice="-3.239 3.239 3.714 3.239 -3.239 3.714 3.239 3.239 -3.714" Properties=species:S:1:pos:R:3 pbc="T T T"
K 0.000 0.000 0.000
Rb 0.000 0.000 3.714
Ir 3.239 0.000 1.857
O 4.539 -1.291 1.845
O 1.947 -1.300 1.868
O 1.939 1.291 1.845
O 4.530 1.300 1.868
```

no.,total DFT energy (no corrections) (hartree per atom),calculated density (g/cm³)
1,-0.23965,11.10
2,-0.10881,3.86
3,-0.19953,4.06